Here is an optimized crystal structure of RuRhBr2 from Alexandria via LeMat-Bulk. Energies are from GGA-PBE. Values from VASP.

Cell and atoms, written as Quantum ESPRESSO input:
```
&SYSTEM
  ibrav = 0, nat = 4, ntyp = 3
/
ATOMIC_SPECIES
Ru 101.07 Ru.upf
Rh 102.91 Rh.upf
Br 79.90 Br.upf
CELL_PARAMETERS angstrom
6.672 -1.662 0.000
6.672 1.662 0.000
-0.698 0.000 4.465
ATOMIC_POSITIONS crystal
Ru 0.000 0.000 0.000
Rh 0.500 0.500 0.500
Br 0.365 0.365 0.806
Br 0.635 0.635 0.194
```

- Energy above the most stable polymorph in this dataset: 141 meV/atom
- ρ: 6.10 g/cm³

Here is an optimized crystal structure of RuRh2Br from Alexandria via LeMat-Bulk. Energies are from GGA-PBE. Values from VASP.

Cell and atoms, written as Quantum ESPRESSO input:
```
&SYSTEM
  ibrav = 0, nat = 4, ntyp = 3
/
ATOMIC_SPECIES
Ru 101.07 Ru.upf
Rh 102.91 Rh.upf
Br 79.90 Br.upf
CELL_PARAMETERS angstrom
2.828 0.000 0.000
0.000 3.545 0.000
0.000 0.000 6.902
ATOMIC_POSITIONS crystal
Ru 0.000 0.000 0.000
Rh 0.500 0.500 0.193
Rh 0.500 0.500 0.807
Br 0.500 0.000 0.500
```

- Energy above the most stable polymorph in this dataset: 0 meV/atom
- ρ: 9.28 g/cm³

Here is an optimized crystal structure of RuRhBr2 from Alexandria via LeMat-Bulk. Energies are from GGA-PBE. Values from VASP.

Cell and atoms, written as Quantum ESPRESSO input:
```
&SYSTEM
  ibrav = 0, nat = 4, ntyp = 3
/
ATOMIC_SPECIES
Ru 101.07 Ru.upf
Rh 102.91 Rh.upf
Br 79.90 Br.upf
CELL_PARAMETERS angstrom
6.356 -1.544 0.000
6.356 1.544 0.000
-0.130 0.000 4.408
ATOMIC_POSITIONS crystal
Ru 0.000 0.000 0.000
Rh 0.661 0.661 0.132
Br 0.313 0.313 0.968
Br 0.524 0.524 0.522
```

- Energy above the most stable polymorph in this dataset: 373 meV/atom
- ρ: 6.98 g/cm³

Here is an optimized crystal structure of RuRh2Br from Alexandria via LeMat-Bulk. Energies are from GGA-PBE. Values from VASP.

Cell and atoms, written as Quantum ESPRESSO input:
```
&SYSTEM
  ibrav = 0, nat = 4, ntyp = 3
/
ATOMIC_SPECIES
Ru 101.07 Ru.upf
Rh 102.91 Rh.upf
Br 79.90 Br.upf
CELL_PARAMETERS angstrom
2.912 0.000 0.000
0.000 2.912 0.000
0.000 0.000 7.380
ATOMIC_POSITIONS crystal
Ru 0.000 0.000 0.000
Rh 0.000 0.000 0.525
Rh 0.500 0.500 0.771
Br 0.500 0.500 0.251
```

- Energy above the most stable polymorph in this dataset: 145 meV/atom
- ρ: 10.26 g/cm³

Here is an optimized crystal structure of Ru2RhBr from Alexandria via LeMat-Bulk. Energies are from GGA-PBE. Values from VASP.

Cell and atoms, written as Quantum ESPRESSO input:
```
&SYSTEM
  ibrav = 0, nat = 4, ntyp = 3
/
ATOMIC_SPECIES
Ru 101.07 Ru.upf
Rh 102.91 Rh.upf
Br 79.90 Br.upf
CELL_PARAMETERS angstrom
4.673 0.000 0.000
0.000 2.873 0.000
-1.504 0.000 4.537
ATOMIC_POSITIONS crystal
Ru 0.000 0.000 0.000
Ru 0.000 0.500 0.500
Rh 0.500 0.000 0.500
Br 0.500 0.500 0.000
```

- Energy above the most stable polymorph in this dataset: 322 meV/atom
- ρ: 10.49 g/cm³

Here is an optimized crystal structure of Ru2RhBr from Alexandria via LeMat-Bulk. Energies are from GGA-PBE. Values from VASP.

Cell and atoms, written as Quantum ESPRESSO input:
```
&SYSTEM
  ibrav = 0, nat = 4, ntyp = 3
/
ATOMIC_SPECIES
Ru 101.07 Ru.upf
Rh 102.91 Rh.upf
Br 79.90 Br.upf
CELL_PARAMETERS angstrom
4.544 -1.445 0.000
4.544 1.445 0.000
-1.190 0.000 4.731
ATOMIC_POSITIONS crystal
Ru 0.000 0.000 0.000
Ru 0.745 0.745 0.205
Rh 0.506 0.506 0.461
Br 0.278 0.278 0.682
```

- Energy above the most stable polymorph in this dataset: 210 meV/atom
- ρ: 10.29 g/cm³

We obtain uncorrected formation energy values of 363; 436; 595; 581; 836; 724 meV/atom for the records listed above, in that order.
We obtain DOS at the Fermi energy values of 4.2; 4.9; 5.1; 7.4; 5.2; 4.3 states/eV per cell for the records listed above, in that order.